Below is a relaxed LaRhO2 crystal, with properties calculated at the PBE-GGA level.

Summary:
Raw total energy, eV for the cell shown: -28.304
V, Å³ per cell: 54.6
Space-group type: Fm-3m (225)
Formation energy without anion corrections, eV/atom: -1.527
Size of the total moment, μB per cell: 2.00

Cell lengths 4.2591, 4.2591, 4.2591 Å; angles 60.00, 60.00, 60.00 degrees
Positions (direct):
La (0.0000, 0.0000, 0.0000)
Rh (0.5000, 0.5000, 0.5000)
O (0.2500, 0.2500, 0.2500)
O (0.7500, 0.7500, 0.7500)